# 1
{
  "formula": "MgTeN2F",
  "functional": "PBEsol",
  "state": "relaxed",
  "cell": [[4.1079, 0.0000, 0.0000], [0.0000, 4.1079, 0.0000], [0.0000, 0.0000, 4.1705]],
  "species": ["Mg", "Te", "N", "N", "F"],
  "frac_coords": [[0.0000, 0.0000, 0.0000], [0.5000, 0.5000, 0.5000], [0.0000, 0.5000, 0.5000], [0.5000, 0.0000, 0.5000], [0.5000, 0.5000, 0.0000]],
  "crystal_system": "tetragonal",
  "total_energy_ev_per_atom": -4.637,
  "relative_energy_ev_per_atom": 0.000,
  "space_group": "P4/mmm (123)",
  "rho_g_cm3": 4.7,
  "dos_at_fermi_per_ev_atom": 0.19
}

=====

# 2
{
  "formula": "MgTeN2F",
  "functional": "PBEsol",
  "state": "relaxed",
  "cell": [[3.8590, 0.0000, 0.0000], [0.0000, 3.8590, 0.0000], [0.0000, 0.0000, 5.8724]],
  "species": ["Mg", "Te", "N", "N", "F"],
  "frac_coords": [[0.0000, 0.0000, 0.0000], [0.0000, 0.0000, 0.5000], [0.0000, 0.5000, 0.0000], [0.5000, 0.0000, 0.0000], [0.5000, 0.5000, 0.5000]],
  "crystal_system": "tetragonal",
  "total_energy_ev_per_atom": -3.709,
  "relative_energy_ev_per_atom": 0.928,
  "space_group": "P4/mmm (123)",
  "rho_g_cm3": 3.8,
  "dos_at_fermi_per_ev_atom": 0.79
}

=====

# 3
{
  "formula": "Na2MgPO4F",
  "functional": "PBEsol",
  "state": "relaxed",
  "cell": [[5.2161, 0.0000, 0.0000], [0.0000, 13.7270, 0.0000], [0.0000, 0.0000, 11.6815]],
  "species": ["Na", "Na", "Na", "Na", "Na", "Na", "Na", "Na", "Na", "Na", "Na", "Na", "Na", "Na", "Na", "Na", "Mg", "Mg", "Mg", "Mg", "Mg", "Mg", "Mg", "Mg", "P", "P", "P", "P", "P", "P", "P", "P", "O", "O", "O", "O", "O", "O", "O", "O", "O", "O", "O", "O", "O", "O", "O", "O", "O", "O", "O", "O", "O", "O", "O", "O", "O", "O", "O", "O", "O", "O", "O", "O", "F", "F", "F", "F", "F", "F", "F", "F"],
  "frac_coords": [[0.2394, 0.2460, 0.1713], [0.2394, 0.7540, 0.6713], [0.2435, 0.3771, 0.9192], [0.2435, 0.6229, 0.4192], [0.2565, 0.1229, 0.4192], [0.2565, 0.8771, 0.9192], [0.2606, 0.2540, 0.6713], [0.2606, 0.7460, 0.1713], [0.7394, 0.2540, 0.8287], [0.7394, 0.7460, 0.3287], [0.7435, 0.1229, 0.0808], [0.7435, 0.8771, 0.5808], [0.7565, 0.3771, 0.5808], [0.7565, 0.6229, 0.0808], [0.7606, 0.2460, 0.3287], [0.7606, 0.7540, 0.8287], [0.2214, 0.4868, 0.6764], [0.2214, 0.5132, 0.1764], [0.2786, 0.0132, 0.1764], [0.2786, 0.9868, 0.6764], [0.7214, 0.0132, 0.3236], [0.7214, 0.9868, 0.8236], [0.7786, 0.4868, 0.8236], [0.7786, 0.5132, 0.3236], [0.2072, 0.1179, 0.9123], [0.2072, 0.8821, 0.4123], [0.2928, 0.3821, 0.4123], [0.2928, 0.6179, 0.9123], [0.7072, 0.3821, 0.0877], [0.7072, 0.6179, 0.5877], [0.7928, 0.1179, 0.5877], [0.7928, 0.8821, 0.0877], [0.0865, 0.1019, 0.6074], [0.0865, 0.8981, 0.1074], [0.1467, 0.4641, 0.3472], [0.1467, 0.5359, 0.8472], [0.2103, 0.2817, 0.3681], [0.2103, 0.7183, 0.8681], [0.2344, 0.3910, 0.5420], [0.2344, 0.6090, 0.0420], [0.2656, 0.1090, 0.0420], [0.2656, 0.8910, 0.5420], [0.2897, 0.2183, 0.8681], [0.2897, 0.7817, 0.3681], [0.3533, 0.0359, 0.8472], [0.3533, 0.9641, 0.3472], [0.4135, 0.3981, 0.1074], [0.4135, 0.6019, 0.6074], [0.5865, 0.3981, 0.3926], [0.5865, 0.6019, 0.8926], [0.6467, 0.0359, 0.6528], [0.6467, 0.9641, 0.1528], [0.7103, 0.2183, 0.6319], [0.7103, 0.7817, 0.1319], [0.7344, 0.1090, 0.4580], [0.7344, 0.8910, 0.9580], [0.7656, 0.3910, 0.9580], [0.7656, 0.6090, 0.4580], [0.7897, 0.2817, 0.1319], [0.7897, 0.7183, 0.6319], [0.8533, 0.4641, 0.1528], [0.8533, 0.5359, 0.6528], [0.9135, 0.1019, 0.8926], [0.9135, 0.8981, 0.3926], [0.0000, 0.0894, 0.2500], [0.0000, 0.3769, 0.7500], [0.0000, 0.6231, 0.2500], [0.0000, 0.9106, 0.7500], [0.5000, 0.1231, 0.2500], [0.5000, 0.4106, 0.7500], [0.5000, 0.5894, 0.2500], [0.5000, 0.8769, 0.7500]],
  "crystal_system": "orthorhombic",
  "total_energy_ev_per_atom": -6.276,
  "space_group": "Pbcn (60)",
  "rho_g_cm3": 2.9,
  "dos_at_fermi_per_ev_atom": 0.00
}

=====

# 4
{
  "formula": "MgNbF2",
  "functional": "PBEsol",
  "state": "relaxed",
  "cell": [[1.5000, 0.8660, 6.7718], [-1.5000, 0.8660, 6.7718], [0.0000, -1.7321, 6.7718]],
  "species": ["Mg", "Nb", "F", "F"],
  "frac_coords": [[0.0000, 0.0000, 0.0000], [0.5000, 0.5000, 0.5000], [0.3805, 0.3805, 0.3805], [0.6195, 0.6195, 0.6195]],
  "crystal_system": "trigonal",
  "total_energy_ev_per_atom": -6.003,
  "space_group": "R-3m (166)",
  "rho_g_cm3": 4.9,
  "dos_at_fermi_per_ev_atom": 0.48
}

=====

# 5
{
  "formula": "Mg3NbF",
  "functional": "PBEsol",
  "state": "relaxed",
  "cell": [[4.4041, 0.0000, 0.0000], [0.0000, 4.4041, 0.0000], [0.0000, 0.0000, 4.4041]],
  "species": ["Mg", "Mg", "Mg", "Nb", "F"],
  "frac_coords": [[0.0000, 0.0000, 0.5000], [0.0000, 0.5000, 0.0000], [0.5000, 0.0000, 0.0000], [0.5000, 0.5000, 0.5000], [0.0000, 0.0000, 0.0000]],
  "crystal_system": "cubic",
  "total_energy_ev_per_atom": -4.083,
  "space_group": "Pm-3m (221)",
  "rho_g_cm3": 3.6,
  "dos_at_fermi_per_ev_atom": 0.57
}

=====

# 6
{
  "formula": "MgNbPdF2",
  "functional": "PBEsol",
  "state": "relaxed",
  "cell": [[4.0543, 0.0000, 0.0000], [0.0000, 4.0543, 0.0000], [0.0000, 0.0000, 5.1404]],
  "species": ["Mg", "Nb", "Pd", "F", "F"],
  "frac_coords": [[0.0000, 0.0000, 0.0000], [0.5000, 0.5000, 0.5000], [0.5000, 0.5000, 0.0000], [0.0000, 0.5000, 0.5000], [0.5000, 0.0000, 0.5000]],
  "crystal_system": "tetragonal",
  "total_energy_ev_per_atom": -5.665,
  "space_group": "P4/mmm (123)",
  "rho_g_cm3": 5.1,
  "dos_at_fermi_per_ev_atom": 0.73
}

=====

# 7
{
  "formula": "MgNi2F2",
  "functional": "PBEsol",
  "state": "relaxed",
  "cell": [[-1.4906, 1.4906, 7.9255], [1.4906, -1.4906, 7.9255], [1.4906, 1.4906, -7.9255]],
  "species": ["Mg", "Ni", "Ni", "F", "F"],
  "frac_coords": [[0.0000, 0.0000, 0.0000], [0.2500, 0.7500, 0.5000], [0.7500, 0.2500, 0.5000], [0.4302, 0.4302, 0.0000], [0.5698, 0.5698, 0.0000]],
  "crystal_system": "tetragonal",
  "total_energy_ev_per_atom": -4.472,
  "space_group": "I4/mmm (139)",
  "rho_g_cm3": 4.2,
  "dos_at_fermi_per_ev_atom": 0.76
}

=====

# 8
{
  "formula": "MgNiF5",
  "functional": "PBEsol",
  "state": "relaxed",
  "cell": [[4.9380, 0.0000, 0.0000], [0.0000, 9.3653, 0.0000], [-2.4828, 0.0000, 6.7261]],
  "species": ["Mg", "Mg", "Mg", "Mg", "Ni", "Ni", "Ni", "Ni", "F", "F", "F", "F", "F", "F", "F", "F", "F", "F", "F", "F", "F", "F", "F", "F", "F", "F", "F", "F"],
  "frac_coords": [[0.0320, 0.0159, 0.2514], [0.0320, 0.4841, 0.7514], [0.9680, 0.5159, 0.2486], [0.9680, 0.9841, 0.7486], [0.3905, 0.2450, 0.6085], [0.3905, 0.2550, 0.1085], [0.6095, 0.7450, 0.8915], [0.6095, 0.7550, 0.3915], [0.0814, 0.1190, 0.5667], [0.0814, 0.3810, 0.0667], [0.1440, 0.1060, 0.0017], [0.1440, 0.3940, 0.5017], [0.2968, 0.6406, 0.3544], [0.2968, 0.8594, 0.8544], [0.3560, 0.1803, 0.3490], [0.3560, 0.3197, 0.8490], [0.3787, 0.5965, 0.7815], [0.3787, 0.9035, 0.2815], [0.6213, 0.0965, 0.7185], [0.6213, 0.4035, 0.2185], [0.6440, 0.6803, 0.1510], [0.6440, 0.8197, 0.6510], [0.7032, 0.1406, 0.1456], [0.7032, 0.3594, 0.6456], [0.8560, 0.6060, 0.4983], [0.8560, 0.8940, 0.9983], [0.9186, 0.6190, 0.9333], [0.9186, 0.8810, 0.4333]],
  "crystal_system": "monoclinic",
  "total_energy_ev_per_atom": -4.853,
  "space_group": "P2_1/c (14)",
  "rho_g_cm3": 3.8,
  "dos_at_fermi_per_ev_atom": 0.32
}

=====

# 9
{
  "formula": "RbMgNiF6",
  "functional": "PBEsol",
  "state": "relaxed",
  "cell": [[-3.5386, 3.5850, 4.9789], [3.5386, -3.5850, 4.9789], [3.5386, 3.5850, -4.9789]],
  "species": ["Rb", "Rb", "Mg", "Mg", "Ni", "Ni", "F", "F", "F", "F", "F", "F", "F", "F", "F", "F", "F", "F"],
  "frac_coords": [[0.3704, 0.1204, 0.2500], [0.6296, 0.8796, 0.7500], [0.0000, 0.0000, 0.5000], [0.0000, 0.5000, 0.0000], [0.0000, 0.5000, 0.5000], [0.5000, 0.5000, 0.0000], [0.0802, 0.8302, 0.2500], [0.0838, 0.4372, 0.2711], [0.0838, 0.8127, 0.6466], [0.3108, 0.5608, 0.7500], [0.3339, 0.1873, 0.7711], [0.3339, 0.5628, 0.1466], [0.6661, 0.4372, 0.8534], [0.6661, 0.8127, 0.2289], [0.6892, 0.4392, 0.2500], [0.9162, 0.1873, 0.3534], [0.9162, 0.5628, 0.7289], [0.9198, 0.1698, 0.7500]],
  "crystal_system": "orthorhombic",
  "total_energy_ev_per_atom": -4.831,
  "space_group": "Imma (74)",
  "rho_g_cm3": 3.7,
  "dos_at_fermi_per_ev_atom": 0.31
}

=====

# 10
{
  "formula": "MgP2OF",
  "functional": "PBEsol",
  "state": "relaxed",
  "cell": [[4.7782, 0.0000, 0.0000], [0.0000, 4.7782, 0.0000], [0.0000, 0.0000, 3.6498]],
  "species": ["Mg", "P", "P", "O", "F"],
  "frac_coords": [[0.0000, 0.0000, 0.0000], [0.0000, 0.5000, 0.0000], [0.5000, 0.0000, 0.0000], [0.0000, 0.0000, 0.5000], [0.5000, 0.5000, 0.5000]],
  "crystal_system": "tetragonal",
  "total_energy_ev_per_atom": -3.714,
  "space_group": "P4/mmm (123)",
  "rho_g_cm3": 2.4,
  "dos_at_fermi_per_ev_atom": 0.76
}

=====

# 11
{
  "formula": "MgPdOF2",
  "functional": "PBEsol",
  "state": "relaxed",
  "cell": [[4.0900, 0.0000, 0.0000], [0.0000, 4.0900, 0.0000], [0.0000, 0.0000, 4.0535]],
  "species": ["Mg", "Pd", "O", "F", "F"],
  "frac_coords": [[0.0000, 0.0000, 0.0000], [0.5000, 0.5000, 0.5000], [0.5000, 0.5000, 0.0000], [0.0000, 0.5000, 0.5000], [0.5000, 0.0000, 0.5000]],
  "crystal_system": "tetragonal",
  "total_energy_ev_per_atom": -4.468,
  "relative_energy_ev_per_atom": 0.404,
  "space_group": "P4/mmm (123)",
  "rho_g_cm3": 4.5,
  "dos_at_fermi_per_ev_atom": 0.21
}

=====

# 12
{
  "formula": "MgPdOF2",
  "functional": "PBEsol",
  "state": "relaxed",
  "cell": [[3.6510, 0.0000, 0.0000], [0.0000, 3.6510, 0.0000], [0.0000, 0.0000, 4.2517]],
  "species": ["Mg", "Pd", "O", "F", "F"],
  "frac_coords": [[0.0000, 0.0000, 0.0000], [0.5000, 0.5000, 0.5000], [0.0000, 0.0000, 0.5000], [0.0000, 0.5000, 0.0000], [0.5000, 0.0000, 0.0000]],
  "crystal_system": "tetragonal",
  "total_energy_ev_per_atom": -4.872,
  "relative_energy_ev_per_atom": 0.000,
  "space_group": "P4/mmm (123)",
  "rho_g_cm3": 5.4,
  "dos_at_fermi_per_ev_atom": 0.75
}